La2ThSe5 SCAN single point on PBEsol structure; crystal system = orthorhombic; SG = Pnma, No. 62; calculated volume = 26.183 Å³/atom; DFT total energy = -37.52 eV per atom
1.0
-7.145 -0.814 3.171
-0.984 -7.478 -4.138
4.964 -5.990 9.646
La Th Se
8 4 20
Direct
0.472 0.499 0.323
0.028 0.001 0.823
0.528 0.999 0.677
0.972 0.501 0.177
0.528 0.501 0.677
0.972 0.999 0.177
0.472 0.001 0.323
0.028 0.499 0.823
0.922 0.250 0.490
0.578 0.250 0.990
0.078 0.750 0.510
0.422 0.750 0.010
0.169 0.046 0.595
0.331 0.454 0.095
0.831 0.546 0.405
0.669 0.954 0.905
0.831 0.954 0.405
0.669 0.546 0.905
0.169 0.454 0.595
0.331 0.046 0.095
0.168 0.250 0.311
0.332 0.250 0.811
0.832 0.750 0.689
0.668 0.750 0.189
0.539 0.250 0.499
0.961 0.250 0.999
0.461 0.750 0.501
0.039 0.750 0.001
0.804 0.250 0.719
0.696 0.250 0.219
0.196 0.750 0.281
0.304 0.750 0.781

La2TlSe SCAN single point on PBEsol structure; crystal system = tetragonal; relative energy among the computed polymorphs = 388.9 meV/atom; SG = I-4m2, No. 119; calculated volume = 27.543 Å³/atom; DFT total energy = -45.65 eV per atom
1.0
-2.426 0.279 -3.734
-2.325 -3.600 1.242
-1.265 4.911 3.855
La Se Tl
2 1 1
Direct
0.000 0.000 0.000
0.750 0.250 0.500
0.500 0.500 0.000
0.250 0.750 0.500

LaTl2Se SCAN single point on PBEsol structure; crystal system = tetragonal; SG = P4/mmm, No. 123; calculated volume = 26.067 Å³/atom; DFT total energy = -52.79 eV per atom
1.0
-2.582 -1.030 3.376
-0.564 -4.009 -1.654
4.343 -1.761 2.785
La Se Tl
1 1 2
Direct
0.500 0.500 0.500
0.000 0.000 0.500
0.000 0.500 0.000
0.500 0.000 0.000

LaTlSe2 SCAN single point on PBEsol structure; crystal system = orthorhombic; SG = Amm2, No. 38; calculated volume = 26.135 Å³/atom; DFT total energy = -40.42 eV per atom
1.0
-3.506 -2.152 -0.264
2.391 -3.843 -0.419
1.719 0.450 5.676
La Se Tl
1 2 1
Direct
0.720 0.500 0.440
0.005 0.500 0.010
0.265 0.000 0.531
0.510 0.000 0.020